A relaxed TbPrSm2As4 crystal. Source: Alexandria, functional GGA-PBE.

Results
Its calculated formation energy is -1518 meV/atom. Its total magnetic moment is 0.0 μB/f.u. For the calculated volume, the calculation gives 26.6 A^3/atom. The density of states at the Fermi level is 0.09 states/eV per atom.

Lattice parameters (Å, degrees): 4.2229 7.3084 7.3075 70.54 90.00 90.00
Fractional positions:
Sm (0.5000, 0.0000, 0.5000)
Sm (0.0000, 0.0000, 0.0000)
As (0.5000, 0.2512, 0.7452)
As (0.0000, 0.2479, 0.2553)
As (0.0000, 0.7521, 0.7447)
Pr (0.5000, 0.5000, 0.0000)
Tb (0.0000, 0.5000, 0.5000)
As (0.5000, 0.7488, 0.2548)



A relaxed Pr3Sm2ThAs6 crystal. Source: Alexandria, functional GGA-PBE.

Results
Its calculated formation energy is -1514 meV/atom. Its total magnetic moment is 0.0 μB/f.u. For the calculated volume, the calculation gives 27.5 A^3/atom. The density of states at the Fermi level is 0.15 states/eV per atom.

Lattice parameters (Å, degrees): 4.2702 8.5416 9.5408 102.97 102.93 90.00
Fractional positions:
Pr (0.8323, 0.1686, 0.6646)
Sm (0.8323, 0.6643, 0.6645)
As (0.6677, 0.5801, 0.3355)
As (0.3352, 0.9143, 0.6704)
As (0.0012, 0.2463, 0.0025)
Sm (0.1677, 0.3357, 0.3355)
Th (0.5000, 0.0000, 0.0000)
Pr (0.1677, 0.8314, 0.3354)
Pr (0.5000, 0.5000, 0.0000)
As (0.3323, 0.4199, 0.6645)
As (0.6648, 0.0857, 0.3296)
As (0.9988, 0.7537, 0.9975)



A relaxed PrSm3Th2As6 crystal. Source: Alexandria, functional GGA-PBE.

Results
Its calculated formation energy is -1500 meV/atom. Its total magnetic moment is 0.0 μB/f.u. For the calculated volume, the calculation gives 27.0 A^3/atom. The density of states at the Fermi level is 0.34 states/eV per atom.

Lattice parameters (Å, degrees): 4.2494 8.4753 9.4828 102.79 102.95 90.00
Fractional positions:
As (0.9995, 0.7454, 0.9991)
Sm (0.1654, 0.8338, 0.3307)
Th (0.8343, 0.6688, 0.6685)
As (0.3331, 0.4168, 0.6662)
Sm (0.5000, 0.5000, 0.0000)
As (0.0005, 0.2546, 0.0009)
As (0.6669, 0.5832, 0.3338)
Pr (0.5000, 0.0000, 0.0000)
As (0.6683, 0.0842, 0.3367)
As (0.3317, 0.9158, 0.6633)
Th (0.1657, 0.3312, 0.3315)
Sm (0.8346, 0.1662, 0.6693)



A relaxed PrSmTh2As4 crystal. Source: Alexandria, functional GGA-PBE.

Results
Its calculated formation energy is -1471 meV/atom. Its total magnetic moment is 0.0 μB/f.u. For the calculated volume, the calculation gives 27.3 A^3/atom. The density of states at the Fermi level is 0.51 states/eV per atom.

Lattice parameters (Å, degrees): 4.2636 7.3624 7.3824 70.40 90.00 90.00
Fractional positions:
Th (0.5000, 0.0000, 0.5000)
As (0.0000, 0.2484, 0.2481)
Th (0.0000, 0.0000, 0.0000)
Pr (0.0000, 0.5000, 0.5000)
Sm (0.5000, 0.5000, 0.0000)
As (0.5000, 0.2464, 0.7535)
As (0.0000, 0.7516, 0.7519)
As (0.5000, 0.7536, 0.2465)



A relaxed PrSm2ThAs4 crystal. Source: Alexandria, functional GGA-PBE.

Results
Its calculated formation energy is -1513 meV/atom. Its total magnetic moment is 0.0 μB/f.u. For the calculated volume, the calculation gives 27.1 A^3/atom. The density of states at the Fermi level is 0.20 states/eV per atom.

Lattice parameters (Å, degrees): 4.2524 7.3429 7.3587 70.54 90.00 90.00
Fractional positions:
As (0.5000, 0.7519, 0.2520)
Pr (0.5000, 0.5000, 0.0000)
Sm (0.5000, 0.0000, 0.5000)
Th (0.0000, 0.5000, 0.5000)
As (0.0000, 0.2469, 0.2544)
As (0.5000, 0.2481, 0.7480)
As (0.0000, 0.7531, 0.7456)
Sm (0.0000, 0.0000, 0.0000)



A relaxed PrSmTm2As4 crystal. Source: Alexandria, functional GGA-PBE.

Results
Its calculated formation energy is -1499 meV/atom. Its total magnetic moment is 0.0 μB/f.u. For the calculated volume, the calculation gives 25.5 A^3/atom. The density of states at the Fermi level is 0.11 states/eV per atom.

Lattice parameters (Å, degrees): 4.1678 7.2045 7.2146 70.50 90.00 90.00
Fractional positions:
As (0.0000, 0.7632, 0.7431)
Pr (0.5000, 0.5000, 0.0000)
Tm (0.5000, 0.0000, 0.5000)
As (0.0000, 0.2368, 0.2569)
As (0.5000, 0.2386, 0.7513)
Sm (0.0000, 0.5000, 0.5000)
As (0.5000, 0.7614, 0.2487)
Tm (0.0000, 0.0000, 0.0000)



A relaxed PrSm2TmAs4 crystal. Source: Alexandria, functional GGA-PBE.

Results
Its calculated formation energy is -1501 meV/atom. Its total magnetic moment is 0.0 μB/f.u. For the calculated volume, the calculation gives 26.3 A^3/atom. The density of states at the Fermi level is 0.09 states/eV per atom.

Lattice parameters (Å, degrees): 4.2061 7.2785 7.2761 70.53 90.00 90.00
Fractional positions:
As (0.5000, 0.2544, 0.7419)
Sm (0.0000, 0.0000, 0.0000)
Tm (0.0000, 0.5000, 0.5000)
Sm (0.5000, 0.0000, 0.5000)
As (0.0000, 0.7505, 0.7431)
As (0.5000, 0.7456, 0.2581)
Pr (0.5000, 0.5000, 0.0000)
As (0.0000, 0.2495, 0.2569)



A relaxed Pr2Sm3TmAs6 crystal. Source: Alexandria, functional GGA-PBE.

Results
Its calculated formation energy is -1503 meV/atom. Its total magnetic moment is 0.0 μB/f.u. For the calculated volume, the calculation gives 26.6 A^3/atom. The density of states at the Fermi level is 0.15 states/eV per atom.

Lattice parameters (Å, degrees): 4.2257 8.4445 9.4418 102.96 102.93 90.00
Fractional positions:
Pr (0.1653, 0.3314, 0.3306)
Sm (0.8327, 0.1658, 0.6653)
As (0.9980, 0.2423, 0.9960)
Sm (0.1673, 0.8342, 0.3347)
Pr (0.8347, 0.6686, 0.6694)
Tm (0.5000, 0.0000, 0.0000)
As (0.3345, 0.4136, 0.6690)
As (0.3361, 0.9222, 0.6722)
As (0.6655, 0.5864, 0.3310)
As (0.0020, 0.7577, 0.0040)
As (0.6639, 0.0778, 0.3278)
Sm (0.5000, 0.5000, 0.0000)



A relaxed Pr2SmTmAs4 crystal. Source: Alexandria, functional GGA-PBE.

Results
Its calculated formation energy is -1497 meV/atom. Its total magnetic moment is 0.0 μB/f.u. For the calculated volume, the calculation gives 26.7 A^3/atom. The density of states at the Fermi level is 0.09 states/eV per atom.

Lattice parameters (Å, degrees): 4.2290 7.3139 7.3181 70.52 90.00 90.00
Fractional positions:
Pr (0.5000, 0.0000, 0.5000)
As (0.0000, 0.2587, 0.2513)
As (0.0000, 0.7413, 0.7487)
Tm (0.0000, 0.5000, 0.5000)
Sm (0.5000, 0.5000, 0.0000)
Pr (0.0000, 0.0000, 0.0000)
As (0.5000, 0.2618, 0.7419)
As (0.5000, 0.7382, 0.2581)



A relaxed PrSmU2As4 crystal. Source: Alexandria, functional GGA-PBE.

Results
Its calculated formation energy is -1122 meV/atom. Its total magnetic moment is 4.9 μB/f.u. For the calculated volume, the calculation gives 25.6 A^3/atom. The density of states at the Fermi level is 1.07 states/eV per atom.

Lattice parameters (Å, degrees): 4.1322 7.1584 7.3321 108.98 90.00 90.00
Each line ends with the local moment (μB).
Fractional positions:
U (0.0000, 0.5000, 0.5000)  2.21
U (0.5000, 0.0000, 0.5000)  2.27
Sm (0.5000, 0.5000, 0.0000)  0.03
As (0.0000, 0.7510, 0.2610)  -0.05
As (0.0000, 0.2490, 0.7390)  -0.05
As (0.5000, 0.2571, 0.2631)  -0.05
Pr (0.0000, 0.0000, 0.0000)  0.03
As (0.5000, 0.7429, 0.7369)  -0.05



A relaxed PrSm2UAs4 crystal. Source: Alexandria, functional GGA-PBE.

Results
Its calculated formation energy is -1310 meV/atom. Its total magnetic moment is 2.5 μB/f.u. For the calculated volume, the calculation gives 26.2 A^3/atom. The density of states at the Fermi level is 0.95 states/eV per atom.

Lattice parameters (Å, degrees): 5.9425 5.9425 7.2801 114.08 114.08 90.01
Each line ends with the local moment (μB).
Fractional positions:
As (0.5076, 0.0076, 0.0152)  -0.03
Sm (0.0000, 0.0000, 0.0000)  0.02
As (0.9924, 0.4924, 0.9848)  -0.03
U (0.7500, 0.2500, 0.5000)  2.26
Sm (0.2500, 0.7500, 0.5000)  0.05
Pr (0.5000, 0.5000, 0.0000)  0.03
As (0.2479, 0.2479, 0.4957)  -0.04
As (0.7521, 0.7521, 0.5043)  -0.04